Material: ErBiSb2
Method: DFT, PBE-GGA
State: relaxed

Geometry as POSCAR:
```
ErBiSb2
1.0
5.260 0.000 0.000
0.000 5.260 0.000
0.000 0.000 4.048
Er Bi Sb
1 1 2
direct
0.000 0.000 0.000 Er
0.500 0.500 0.000 Bi
0.000 0.500 0.500 Sb
0.500 0.000 0.500 Sb
```

The excess energy over the best structure of this formula in the dataset comes out at 0.060 eV per atom.

---

Material: Zr6Pd2Pt
Method: DFT, PBE-GGA
State: relaxed

Geometry as POSCAR:
```
Zr6Pd2Pt
1.0
5.738 0.000 0.000
0.000 7.331 0.000
-5.357 0.000 9.095
Zr Pd Pt
12 4 2
direct
0.067 0.060 0.239 Zr
0.067 0.440 0.739 Zr
0.197 0.732 0.065 Zr
0.197 0.768 0.565 Zr
0.385 0.148 0.043 Zr
0.385 0.352 0.543 Zr
0.615 0.648 0.457 Zr
0.615 0.852 0.957 Zr
0.803 0.232 0.435 Zr
0.803 0.268 0.935 Zr
0.933 0.560 0.261 Zr
0.933 0.940 0.761 Zr
0.329 0.098 0.716 Pd
0.329 0.402 0.216 Pd
0.671 0.598 0.784 Pd
0.671 0.902 0.284 Pd
0.500 0.000 0.500 Pt
0.500 0.500 0.000 Pt
```

The energy of formation from the pure elements comes out at -392 meV/atom.

---

Material: Cd2In2Sn
Method: DFT, PBE-GGA
State: relaxed

Geometry as POSCAR:
```
Cd2In2Sn
1.0
4.429 0.000 0.000
0.000 4.429 0.000
0.000 0.000 13.740
Cd In Sn
4 4 2
direct
0.000 0.000 0.100 Cd
0.000 0.000 0.900 Cd
0.500 0.500 0.400 Cd
0.500 0.500 0.600 Cd
0.000 0.500 0.250 In
0.000 0.500 0.750 In
0.500 0.000 0.250 In
0.500 0.000 0.750 In
0.000 0.000 0.500 Sn
0.500 0.500 0.000 Sn
```

The energy of formation from the pure elements comes out at 130 meV/atom.